Below is MnZn2O4 after structural relaxation, with properties calculated at the GGA+U level.

Lattice parameters (Å, degrees): 3.2247 3.2247 29.6316 90.00 90.00 120.00
With the nearest neighbours (Å) after each atom.
Space group R-3m (No. 166, hexagonal axes)
Asymmetric unit:
Mn  0.0000  0.0000  0.0000 x3  6 O 2.05
Zn  0.0000  0.0000  0.2117 x6  3 O 1.86
O  0.0000  0.0000  0.1239 x6  3 Zn 1.86
O  0.0000  0.0000  0.3626 x6  3 Mn 2.05

Computed properties:
DFT total energy, eV/atom: -5.470
Total magnetization, μB per cell: 9.41